Below is a relaxed MnAsSe2N crystal, with properties calculated at the GGA-PBE level.

```
MnAsSe2N
1.0
4.9471 0.0000 0.0000
0.0000 4.9471 0.0000
0.0000 0.0000 3.4836
Mn As Se N
1 1 2 1
Direct
0.0000 0.0000 0.0000
0.5000 0.5000 0.5000
0.0000 0.5000 0.0000
0.5000 0.0000 0.0000
0.0000 0.0000 0.5000
```

As for the space-group type: P4/mmm, No. 123. The total magnetic moment is 0.307 μB/atom. As for the raw formation energy: 298.4 meV/atom. As for the density of states at the Fermi level: 2.75 states/eV per cell. The calculation puts the energy relative to the lowest polymorph listed for this composition at 0.000 eV/atom.